[1]
First-principles (PBE) data for an optimized crystal structure of AcPr9Er2, as listed in the Alexandria database.

abc: 5.231 5.231 15.727
angles: 90.00 90.00 90.00
Sites, in units of the cell vectors:
Pr1 0.500 0.000 0.174
Pr2 0.000 0.500 0.500
Pr3 0.500 0.500 0.661
Pr4 0.500 0.500 0.339
Pr5 0.500 0.000 0.826
Er1 0.000 0.000 0.663
Pr6 0.000 0.500 0.174
Er2 0.000 0.000 0.337
Pr7 0.000 0.500 0.826
Ac1 0.000 0.000 0.000
Pr8 0.500 0.500 0.000
Pr9 0.500 0.000 0.500

Computed properties:
* space-group type: P4/mmm
* E_form: 0.02 eV per atom


[2]
First-principles (PBE) data for an optimized crystal structure of In2TcSb, as listed in the Alexandria database.

abc: 10.360 10.360 7.747
angles: 48.04 48.04 90.00
Sites, in units of the cell vectors:
Tc1 0.250 0.750 0.500
Sb1 0.000 0.000 0.000
In1 0.375 0.125 0.250
Sb2 0.750 0.250 0.500
In2 0.375 0.625 0.250
In3 0.375 0.625 0.750
In4 0.875 0.625 0.750
Tc2 0.500 0.500 0.000

Computed properties:
* space-group type: I4_1/amd
* uncorrected formation energy: 0.8 eV/f.u.


[3]
First-principles (PBE) data for an optimized crystal structure of Na3AcAu3, as listed in the Alexandria database.

abc: 7.636 7.636 7.636
angles: 90.00 90.00 90.00
Sites, in units of the cell vectors:
Na1 0.500 0.250 0.000
Na2 0.750 0.000 0.500
Au1 0.250 0.500 0.000
Ac1 0.500 0.500 0.500
Ac2 0.000 0.000 0.000
Na3 0.000 0.500 0.750
Au2 0.000 0.250 0.500
Na4 0.000 0.500 0.250
Na5 0.250 0.000 0.500
Au3 0.750 0.500 0.000
Au4 0.500 0.000 0.250
Au5 0.500 0.000 0.750
Na6 0.500 0.750 0.000
Au6 0.000 0.750 0.500

Computed properties:
* space-group type: Pm-3n
* E_form: 0.10 eV per atom


[4]
First-principles (PBE) data for an optimized crystal structure of Ta2CdBSe, as listed in the Alexandria database.

abc: 5.118 4.828 5.118
angles: 90.00 90.00 90.00
Sites, in units of the cell vectors:
Cd1 0.000 0.000 0.000
Ta1 0.000 0.000 0.500
Ta2 0.500 0.000 0.000
Se1 0.000 0.500 0.000
B1 0.500 0.500 0.500

Computed properties:
* space-group type: P4/mmm
* uncorrected formation energy: 14.3 eV/f.u.


The calculation returns the following M_tot values, one per record and in order: 0.0; 0.0; 0.0; 0.0 μB/f.u..
The calculation returns the following calculated volume values, one per record and in order: 35.86; 33.81; 31.80; 25.29 Å³ per atom.